No. 1
{"formula": "SrScIO2", "functional": "PBE", "state": "optimized geometry", "e_above_lowest_polymorph_mev_per_atom": 0, "formation_energy_uncorrected_ev_per_atom": -1.95, "space_group": "No. 123", "lattice": [[4.3305, 0.0000, 0.0000], [0.0000, 4.3305, 0.0000], [0.0000, 0.0000, 5.5491]], "species": ["Sr", "O", "O", "I", "Sc"], "fractional_positions": [[0.5000, 0.5000, 0.5000], [0.0000, 0.5000, 0.0000], [0.5000, 0.0000, 0.0000], [0.0000, 0.0000, 0.5000], [0.0000, 0.0000, 0.0000]]}

---

No. 2
{"formula": "La3YCu4", "functional": "PBE", "state": "optimized geometry", "space_group": "No. 123", "lattice": [[3.5968, 0.0000, 0.0000], [0.0000, 3.5968, 0.0000], [0.0000, 0.0000, 14.5470]], "species": ["Cu", "Cu", "La", "Cu", "Y", "La", "La", "Cu"], "fractional_positions": [[0.0000, 0.0000, 0.8896], [0.0000, 0.0000, 0.6273], [0.5000, 0.5000, 0.5000], [0.0000, 0.0000, 0.3727], [0.5000, 0.5000, 0.0000], [0.5000, 0.5000, 0.7551], [0.5000, 0.5000, 0.2449], [0.0000, 0.0000, 0.1104]]}

---

These records have theoretical density values of 4.65, 6.70 Mg/m³, in the order they appear.
These records have electronic total energy values of -29.253, -38.907 eV/cell, in the order they appear.